First-principles (PBE with a Hubbard U) data for a geometry-optimized Mn3O5F structure, as listed in Alexandria via LeMat-Bulk.

Structure (extended XYZ):
```
18
Lattice="-1.044 -2.833 0.005 4.261 -1.571 -0.149 0.908 -0.311 13.617" Properties=species:S:1:pos:R:3 pbc="T T T"
Mn 0.000 0.000 0.000
Mn 0.395 -0.138 4.624
Mn 4.775 -1.744 8.843
Mn 1.665 -2.219 2.107
Mn 2.063 -2.357 6.736
Mn 2.460 -2.496 11.365
O 3.430 -2.859 8.061
O 3.788 -2.983 12.630
O 3.039 -1.118 1.290
O 3.687 -1.341 10.382
O 3.346 -1.223 5.806
O 1.483 -0.541 3.085
O 1.823 -0.659 7.661
O 2.131 -0.764 12.178
O 0.338 -1.732 0.842
O 0.695 -1.855 5.412
F 3.122 -2.753 3.527
F 1.003 -1.961 9.945
```

Summary:
ρ, g cm⁻³: 4.7
Energy above the most stable polymorph in this dataset, meV/atom: 2
DOS(E_F), states/eV per cell: 3.63